## YSb2Mo (PBE)

Data for a relaxed YSb2Mo crystal.

Computed properties:
As for the space-group type: Cm (8). For the excess energy over the best structure of this formula in the dataset, the calculation gives 0.152 eV/atom.

Lattice parameters (Å, degrees): 5.5209 5.5209 5.0603 104.91 104.91 38.69
Closest atoms and distances in Å follow each position.
Positions (direct):
1 Y 0.0000 0.0000 0.0000  7 Sb 3.00-3.16, 1 Mo 3.29
2 Sb 0.2530 0.2530 0.8257  2 Mo 2.86, 3 Y 3.00-3.08
3 Sb 0.4889 0.4889 0.4844  3 Mo 2.84-3.10, 4 Y 3.09-3.16
4 Mo 0.7730 0.7730 0.4033  5 Sb 2.84-3.10


## ZnSb2Mo (PBE)

Data for a relaxed ZnSb2Mo crystal.

Computed properties:
As for the space-group type: Pmmm (47). The calculation puts the final energy at -18.15 eV/f.u.

Lattice parameters (Å, degrees): 3.5624 4.4395 5.1261 90.00 90.00 90.00
Closest atoms and distances in Å follow each position.
Positions (direct):
1 Zn 0.0000 0.0000 0.0000  4 Sb 2.85, 4 Mo 3.12
2 Sb 0.0000 0.5000 0.5000  4 Mo 2.85, 4 Sb 3.12
3 Sb 0.5000 0.5000 0.0000  4 Zn 2.85, 4 Sb 3.12
4 Mo 0.5000 0.0000 0.5000  4 Sb 2.85, 4 Zn 3.12


## ZnSb2Mo (PBE)

Data for a relaxed ZnSb2Mo crystal.

Computed properties:
As for the space-group type: Cmm2 (35). The calculation puts the final energy at -19.04 eV/f.u.

Lattice parameters (Å, degrees): 3.0912 3.0912 9.6642 90.00 90.00 106.90
Closest atoms and distances in Å follow each position.
Positions (direct):
1 Zn 0.0000 0.0000 0.0000  2 Mo 2.66, 2 Sb 2.81
2 Sb 0.0000 0.0000 0.5898  2 Mo 2.75
3 Sb 0.5000 0.5000 0.2199  2 Zn 2.81, 4 Sb 3.09
4 Mo 0.5000 0.5000 0.8018  2 Zn 2.66, 2 Sb 2.75


## ZnSb2Mo (PBE)

Data for a relaxed ZnSb2Mo crystal.

Computed properties:
As for the space-group type: I4/mmm (139). The calculation puts the final energy at -18.69 eV/f.u.

Lattice parameters (Å, degrees): 5.0490 5.0490 5.0490 126.44 126.44 79.16
Closest atoms and distances in Å follow each position.
Positions (direct):
1 Zn 0.0000 0.0000 0.0000  8 Sb 2.99, 4 Mo 3.22
2 Sb 0.2500 0.7500 0.5000  4 Mo 2.99, 4 Zn 2.99, 4 Sb 3.22
3 Sb 0.7500 0.2500 0.5000  4 Mo 2.99, 4 Zn 2.99, 4 Sb 3.22
4 Mo 0.5000 0.5000 0.0000  8 Sb 2.99, 4 Zn 3.22


## ZnSbMo4 (PBE)

Data for a relaxed ZnSbMo4 crystal.

Computed properties:
As for the space-group type: F-43m (216). The calculation puts the final energy at -45.85 eV/f.u.

Lattice parameters (Å, degrees): 5.3048 5.3048 5.3048 60.00 60.00 60.00
Closest atoms and distances in Å follow each position.
Positions (direct):
1 Zn 0.0000 0.0000 0.0000  12 Mo 3.11, 4 Sb 3.25
2 Sb 0.2500 0.2500 0.2500  12 Mo 3.11, 4 Zn 3.25
3 Mo 0.1217 0.6261 0.6261  6 Mo 2.63-2.68
4 Mo 0.6261 0.1217 0.6261  6 Mo 2.63-2.68
5 Mo 0.6261 0.6261 0.1217  6 Mo 2.63-2.68
6 Mo 0.6261 0.6261 0.6261  6 Mo 2.63-2.68


## ZnSb2Mo (PBE)

Data for a relaxed ZnSb2Mo crystal.

Computed properties:
As for the space-group type: C2/m (12). The calculation puts the final energy at -18.71 eV/f.u.

Lattice parameters (Å, degrees): 4.8280 4.8280 3.4761 90.31 90.31 102.43
Closest atoms and distances in Å follow each position.
Positions (direct):
1 Zn 0.0000 0.0000 0.0000  8 Sb 2.97-2.98, 2 Mo 3.02
2 Sb 0.0000 0.5000 0.5000  4 Mo 2.97-2.98, 4 Zn 2.97-2.98, 2 Sb 3.02
3 Sb 0.5000 0.0000 0.5000  4 Mo 2.97-2.98, 4 Zn 2.97-2.98, 2 Sb 3.02
4 Mo 0.5000 0.5000 0.0000  8 Sb 2.97-2.98, 2 Zn 3.02


## ZnSb2Mo (PBE)

Data for a relaxed ZnSb2Mo crystal.

Computed properties:
As for the space-group type: C2/m (12). The calculation puts the final energy at -18.98 eV/f.u.

Lattice parameters (Å, degrees): 4.9453 4.9453 5.3386 97.20 97.20 39.18
Closest atoms and distances in Å follow each position.
Positions (direct):
1 Zn 0.0000 0.0000 0.0000  2 Sb 2.71
2 Sb 0.2260 0.2260 0.7296  1 Zn 2.71, 3 Mo 2.83-2.98
3 Sb 0.7740 0.7740 0.2704  1 Zn 2.71, 3 Mo 2.83-2.98
4 Mo 0.5000 0.5000 0.5000  6 Sb 2.83-2.98, 4 Zn 3.14


## ZnSb2Mo (PBE)

Data for a relaxed ZnSb2Mo crystal.

Computed properties:
As for the space-group type: Pmm2 (25). The calculation puts the final energy at -19.33 eV/f.u.

Lattice parameters (Å, degrees): 3.3285 3.5633 7.4288 90.00 90.00 90.00
Closest atoms and distances in Å follow each position.
Positions (direct):
1 Zn 0.0000 0.0000 0.0000  4 Mo 2.78, 5 Sb 2.79-2.89
2 Sb 0.0000 0.0000 0.3753  1 Zn 2.79, 4 Mo 2.84
3 Sb 0.5000 0.5000 0.7923  1 Mo 2.87, 4 Zn 2.89
4 Mo 0.5000 0.5000 0.1785  4 Zn 2.78, 5 Sb 2.84-2.87


- Which formula does entry 3 have?
  ZnSb2Mo